A plane-wave DFT calculation with PBE with a Hubbard U was carried out for an optimized crystal structure of VInN2F.

```
VInN2F
1.0
4.2330 0.0000 0.0000
0.0000 4.2330 0.0000
0.0000 0.0000 4.1846
V In N F
1 1 2 1
direct
0.0000 0.0000 0.0000
0.5000 0.5000 0.5000
0.0000 0.5000 0.5000
0.5000 0.0000 0.5000
0.5000 0.5000 0.0000
```

The total energy is -5.07 eV per atom. As for the symmetry: P4/mmm (123).

A plane-wave DFT calculation with PBE with a Hubbard U was carried out for an optimized crystal structure of InWN2F.

```
InWN2F
1.0
4.2227 0.0000 0.0000
0.0000 4.2227 0.0000
0.0000 0.0000 4.0542
In W N F
1 1 2 1
direct
0.0000 0.0000 0.0000
0.5000 0.5000 0.5000
0.0000 0.5000 0.0000
0.5000 0.0000 0.0000
0.0000 0.0000 0.5000
```

The total energy is -4.88 eV per atom. As for the symmetry: P4/mmm (123).